[1]
A plane-wave DFT calculation with GGA-PBE was carried out for an optimized crystal structure of CdCoRe2.

Output
- Energy: -30.57 eV/f.u.
- D(E_F): 0.8556 states/eV per atom
- Calculated density: 14.8 g cm⁻³

Cell lengths 5.0674, 5.0674, 5.0674 Å; angles 143.63, 126.90, 66.07 degrees
Closest atoms and distances in Å follow each position.
Atoms (fractional coordinates):
Cd (0.4910, 0.4910, 0.0000)  2 Co 2.67, 8 Re 2.76-2.95
Co (0.2381, 0.7381, 0.5000)  6 Re 2.55-2.77, 2 Cd 2.67
Re (0.0020, 0.0020, 0.0000)  2 Re 2.53, 2 Co 2.55, 4 Cd 2.76
Re (0.7689, 0.2689, 0.5000)  2 Re 2.53, 4 Co 2.77



[2]
A plane-wave DFT calculation with GGA-PBE was carried out for an optimized crystal structure of CdCo2Re.

Output
- Energy: -26.07 eV/f.u.
- D(E_F): 1.2515 states/eV per atom
- Calculated density: 12.0 g cm⁻³

Cell lengths 8.9909, 8.9909, 8.9909 Å; angles 17.51, 17.51, 17.51 degrees
Closest atoms and distances in Å follow each position.
Atoms (fractional coordinates):
Cd (0.7461, 0.7461, 0.7461)  6 Cd 2.74, 3 Co 2.84, 3 Re 3.04
Co (0.9905, 0.9905, 0.9905)  9 Co 2.46-2.74
Co (0.2529, 0.2529, 0.2529)  9 Co 2.46-2.74, 3 Re 2.56
Re (0.5105, 0.5105, 0.5105)  3 Co 2.56, 6 Re 2.74



[3]
A plane-wave DFT calculation with GGA-PBE was carried out for an optimized crystal structure of CdCo2Re.

Output
- Energy: -25.93 eV/f.u.
- D(E_F): 1.1350 states/eV per atom
- Calculated density: 12.7 g cm⁻³

Cell lengths 4.5492, 4.5492, 2.6969 Å; angles 90.00, 90.00, 102.86 degrees
Closest atoms and distances in Å follow each position.
Atoms (fractional coordinates):
Cd (0.0000, 0.5000, 0.5000)  8 Co 2.64, 2 Cd 2.70, 2 Re 2.84
Co (0.0000, 0.0000, 0.0000)  4 Re 2.64, 4 Cd 2.64, 4 Co 2.70-2.84
Co (0.5000, 0.5000, 0.0000)  4 Cd 2.64, 4 Re 2.64, 4 Co 2.70-2.84
Re (0.5000, 0.0000, 0.5000)  8 Co 2.64, 2 Re 2.70, 2 Cd 2.84



[4]
A plane-wave DFT calculation with GGA-PBE was carried out for an optimized crystal structure of CdCoRe2.

Output
- Energy: -30.69 eV/f.u.
- D(E_F): 0.8939 states/eV per atom
- Calculated density: 15.0 g cm⁻³

Cell lengths 4.4037, 4.4037, 4.4037 Å; angles 60.00, 60.00, 60.00 degrees
Closest atoms and distances in Å follow each position.
Atoms (fractional coordinates):
Cd (0.5000, 0.5000, 0.5000)  4 Co 2.70, 4 Re 2.70
Co (0.7500, 0.7500, 0.7500)  4 Cd 2.70, 4 Re 2.70
Re (0.0000, 0.0000, 0.0000)  4 Co 2.70, 4 Re 2.70
Re (0.2500, 0.2500, 0.2500)  4 Re 2.70, 4 Cd 2.70



[5]
A plane-wave DFT calculation with GGA-PBE was carried out for an optimized crystal structure of CdCoRe2.

Output
- Energy: -30.86 eV/f.u.
- D(E_F): 0.7304 states/eV per atom
- Calculated density: 14.7 g cm⁻³

Cell lengths 3.8393, 2.6647, 6.5587 Å; angles 66.01, 90.00, 90.00 degrees
Closest atoms and distances in Å follow each position.
Atoms (fractional coordinates):
Cd (0.5000, 0.2500, 0.2500)  2 Cd 2.66, 8 Re 2.93
Co (0.5000, 0.7500, 0.7500)  8 Re 2.64, 2 Co 2.66
Re (0.0000, 0.0465, 0.9550)  3 Re 2.46-2.66, 4 Co 2.64
Re (0.0000, 0.4535, 0.5450)  3 Re 2.46-2.66, 4 Co 2.64



[6]
A plane-wave DFT calculation with GGA-PBE was carried out for an optimized crystal structure of CdCo2Re.

Output
- Energy: -26.01 eV/f.u.
- D(E_F): 1.1555 states/eV per atom
- Calculated density: 12.1 g cm⁻³

Cell lengths 2.6776, 3.6422, 5.8720 Å; angles 90.00, 90.00, 90.00 degrees
Closest atoms and distances in Å follow each position.
Atoms (fractional coordinates):
Cd (0.5000, 0.5000, 0.7689)  2 Cd 2.68, 5 Co 2.75-2.86, 4 Re 2.97
Co (0.0000, 0.0000, 0.0354)  1 Re 2.38, 4 Co 2.60
Co (0.5000, 0.5000, 0.2553)  4 Re 2.51, 6 Co 2.60-2.68
Re (0.0000, 0.0000, 0.4404)  5 Co 2.38-2.51



[7]
A plane-wave DFT calculation with GGA-PBE was carried out for an optimized crystal structure of CdCo3Re.

Output
- Energy: -23.20 eV/f.u.
- D(E_F): 1.9483 states/eV per atom
- Calculated density: 8.6 g cm⁻³

Cell lengths 4.5137, 4.5137, 4.5137 Å; angles 90.00, 90.00, 90.00 degrees
Closest atoms and distances in Å follow each position.
Atoms (fractional coordinates):
Re (0.5000, 0.5000, 0.5000)  12 Co 3.19
Co (0.0000, 0.5000, 0.0000)  2 Cd 2.26
Co (0.0000, 0.0000, 0.5000)  2 Cd 2.26
Co (0.5000, 0.0000, 0.0000)  2 Cd 2.26
Cd (0.0000, 0.0000, 0.0000)  6 Co 2.26



[8]
A plane-wave DFT calculation with GGA-PBE was carried out for an optimized crystal structure of CdCoRe2.

Output
- Energy: -30.69 eV/f.u.
- D(E_F): 0.9141 states/eV per atom
- Calculated density: 14.5 g cm⁻³

Cell lengths 3.0666, 3.0666, 6.6385 Å; angles 90.00, 90.00, 90.00 degrees
Closest atoms and distances in Å follow each position.
Atoms (fractional coordinates):
Cd (0.5000, 0.5000, 0.2500)  8 Re 3.00, 4 Cd 3.07, 2 Co 3.32
Co (0.5000, 0.5000, 0.7500)  8 Re 2.50
Re (0.0000, 0.0000, 0.9377)  1 Re 2.49, 4 Co 2.50
Re (0.0000, 0.0000, 0.5623)  1 Re 2.49, 4 Co 2.50



[9]
A plane-wave DFT calculation with GGA-PBE was carried out for an optimized crystal structure of CdCoRe2.

Output
- Energy: -30.70 eV/f.u.
- D(E_F): 0.8565 states/eV per atom
- Calculated density: 15.2 g cm⁻³

Cell lengths 5.0279, 5.0279, 5.0279 Å; angles 136.46, 136.46, 63.27 degrees
Closest atoms and distances in Å follow each position.
Atoms (fractional coordinates):
Cd (0.2500, 0.7500, 0.5000)  4 Co 2.64, 8 Re 2.84
Co (0.7500, 0.2500, 0.5000)  4 Cd 2.64, 8 Re 2.84
Re (0.0000, 0.0000, 0.0000)  4 Re 2.64, 4 Cd 2.84, 4 Co 2.84
Re (0.5000, 0.5000, 0.0000)  4 Re 2.64, 4 Co 2.84, 4 Cd 2.84



[10]
A plane-wave DFT calculation with GGA-PBE was carried out for an optimized crystal structure of CdCo2Re.

Output
- Energy: -25.35 eV/f.u.
- D(E_F): 1.5233 states/eV per atom
- Calculated density: 12.1 g cm⁻³

Cell lengths 2.6434, 5.0154, 5.2971 Å; angles 54.42, 90.00, 90.00 degrees
Closest atoms and distances in Å follow each position.
Atoms (fractional coordinates):
Cd (0.0000, 0.0000, 0.5000)  2 Cd 2.64, 6 Co 2.65-2.71, 4 Re 2.83
Co (0.0000, 0.0000, 0.0000)  6 Co 2.64-2.83, 2 Cd 2.65, 4 Re 2.71
Co (0.5000, 0.5000, 0.0000)  6 Co 2.64-2.83, 2 Re 2.65, 4 Cd 2.71
Re (0.5000, 0.5000, 0.5000)  2 Re 2.64, 6 Co 2.65-2.71, 4 Cd 2.83



[11]
A plane-wave DFT calculation with GGA-PBE was carried out for an optimized crystal structure of CdCo2Re.

Output
- Energy: -25.32 eV/f.u.
- D(E_F): 1.0494 states/eV per atom
- Calculated density: 12.6 g cm⁻³

Cell lengths 4.8322, 4.8322, 4.8322 Å; angles 135.49, 135.49, 64.78 degrees
Closest atoms and distances in Å follow each position.
Atoms (fractional coordinates):
Cd (0.7500, 0.2500, 0.5000)  8 Co 2.59-2.74, 4 Re 2.74
Co (0.0000, 0.0000, 0.0000)  4 Re 2.59, 4 Cd 2.74, 4 Co 2.74
Co (0.2500, 0.7500, 0.5000)  4 Cd 2.59, 4 Re 2.74, 4 Co 2.74
Re (0.5000, 0.5000, 0.0000)  8 Co 2.59-2.74, 4 Cd 2.74



[12]
A plane-wave DFT calculation with GGA-PBE was carried out for an optimized crystal structure of CdCo2Re.

Output
- Energy: -27.00 eV/f.u.
- D(E_F): 1.0195 states/eV per atom
- Calculated density: 12.5 g cm⁻³

Cell lengths 2.7361, 2.7361, 7.3736 Å; angles 90.00, 90.00, 90.00 degrees
Closest atoms and distances in Å follow each position.
Atoms (fractional coordinates):
Cd (0.5000, 0.5000, 0.7500)  4 Cd 2.74, 8 Co 2.81
Co (0.0000, 0.0000, 0.0259)  4 Re 2.54, 4 Co 2.74, 4 Cd 2.81
Co (0.0000, 0.0000, 0.4741)  4 Re 2.54, 4 Co 2.74, 4 Cd 2.81
Re (0.5000, 0.5000, 0.2500)  8 Co 2.54, 4 Re 2.74



[13]
A plane-wave DFT calculation with GGA-PBE was carried out for an optimized crystal structure of CdCo2Re.

Output
- Energy: -24.24 eV/f.u.
- D(E_F): 1.8264 states/eV per atom
- Calculated density: 11.0 g cm⁻³

Cell lengths 6.7735, 6.7735, 5.5162 Å; angles 52.12, 52.12, 90.00 degrees
Closest atoms and distances in Å follow each position.
Atoms (fractional coordinates):
Re (0.0000, 0.0000, 0.0000)  4 Co 2.29
Re (0.7500, 0.2500, 0.5000)  4 Co 2.29
Co (0.6714, 0.1250, 0.2500)  2 Re 2.29
Co (0.0786, 0.6250, 0.2500)  2 Re 2.29
Co (0.3750, 0.3286, 0.7500)  2 Re 2.29
Co (0.8750, 0.9214, 0.7500)  2 Re 2.29
Cd (0.5000, 0.5000, 0.0000)  8 Co 2.71-3.00, 2 Re 2.74
Cd (0.2500, 0.7500, 0.5000)  8 Co 2.71-3.00, 2 Re 2.74



[14]
A plane-wave DFT calculation with GGA-PBE was carried out for an optimized crystal structure of CdCo2Re.

Output
- Energy: -26.60 eV/f.u.
- D(E_F): 1.0709 states/eV per atom
- Calculated density: 12.4 g cm⁻³

Cell lengths 2.7330, 3.4769, 5.8837 Å; angles 90.00, 90.00, 90.00 degrees
Closest atoms and distances in Å follow each position.
Atoms (fractional coordinates):
Cd (0.5000, 0.5000, 0.7500)  2 Cd 2.73, 8 Co 2.80, 2 Re 2.94
Co (0.0000, 0.0000, 0.0406)  3 Co 2.46-2.73, 4 Re 2.53
Co (0.0000, 0.0000, 0.4594)  3 Co 2.46-2.73, 4 Re 2.53
Re (0.5000, 0.5000, 0.2500)  8 Co 2.53, 2 Re 2.73



[15]
A plane-wave DFT calculation with GGA-PBE was carried out for an optimized crystal structure of CdCoRe2.

Output
- Energy: -31.30 eV/f.u.
- D(E_F): 1.1369 states/eV per atom
- Calculated density: 14.6 g cm⁻³

Cell lengths 3.8651, 2.7760, 6.3768 Å; angles 64.64, 90.00, 90.00 degrees
Closest atoms and distances in Å follow each position.
Atoms (fractional coordinates):
Cd (0.0000, 0.4782, 0.5159)  2 Cd 2.78, 4 Co 2.80, 6 Re 2.82-3.00
Co (0.5000, 0.7247, 0.7720)  5 Re 2.51-2.79, 2 Co 2.78, 4 Cd 2.80
Re (0.0000, 0.0352, 0.0044)  6 Re 2.55-2.78, 4 Co 2.68-2.79, 1 Cd 2.82
Re (0.5000, 0.2619, 0.2076)  1 Co 2.51, 6 Re 2.55-2.78



[16]
A plane-wave DFT calculation with GGA-PBE was carried out for an optimized crystal structure of CdCoRe2.

Output
- Energy: -30.40 eV/f.u.
- D(E_F): 1.3836 states/eV per atom
- Calculated density: 14.8 g cm⁻³

Cell lengths 5.3012, 5.3012, 2.6677 Å; angles 80.67, 80.67, 120.44 degrees
Closest atoms and distances in Å follow each position.
Atoms (fractional coordinates):
Cd (0.5000, 0.0000, 0.5000)  2 Co 2.63, 2 Cd 2.67, 4 Re 2.77
Co (0.0000, 0.5000, 0.5000)  2 Cd 2.63, 2 Co 2.67, 4 Re 2.77
Re (0.0000, 0.0000, 0.0000)  4 Re 2.63-2.67, 2 Co 2.77, 2 Cd 2.77
Re (0.5000, 0.5000, 0.0000)  4 Re 2.63-2.67, 2 Cd 2.77, 2 Co 2.77



[17]
A plane-wave DFT calculation with GGA-PBE was carried out for an optimized crystal structure of CdCoRe2.

Output
- Energy: -29.26 eV/f.u.
- D(E_F): 1.0977 states/eV per atom
- Calculated density: 14.9 g cm⁻³

Cell lengths 4.6810, 4.6810, 2.7639 Å; angles 90.00, 90.00, 90.00 degrees
Closest atoms and distances in Å follow each position.
Atoms (fractional coordinates):
Cd (0.5000, 0.0000, 0.5000)  8 Re 2.72, 2 Cd 2.76
Co (0.0000, 0.5000, 0.5000)  8 Re 2.72, 2 Co 2.76
Re (0.0000, 0.0000, 0.0000)  4 Cd 2.72, 4 Co 2.72, 2 Re 2.76
Re (0.5000, 0.5000, 0.0000)  4 Cd 2.72, 4 Co 2.72, 2 Re 2.76



[18]
A plane-wave DFT calculation with GGA-PBE was carried out for an optimized crystal structure of CdCoRe2.

Output
- Energy: -30.70 eV/f.u.
- D(E_F): 1.1958 states/eV per atom
- Calculated density: 15.1 g cm⁻³

Cell lengths 4.6765, 4.6765, 4.6765 Å; angles 129.35, 129.35, 74.45 degrees
Closest atoms and distances in Å follow each position.
Atoms (fractional coordinates):
Cd (0.5000, 0.5000, 0.0000)  8 Re 2.73-2.83, 4 Co 2.73
Co (0.7500, 0.2500, 0.5000)  4 Cd 2.73, 8 Re 2.73-2.83
Re (0.0000, 0.0000, 0.0000)  4 Re 2.73, 4 Co 2.73, 4 Cd 2.83
Re (0.2500, 0.7500, 0.5000)  4 Cd 2.73, 4 Re 2.73, 4 Co 2.83



[19]
A plane-wave DFT calculation with GGA-PBE was carried out for an optimized crystal structure of CdCoRe2.

Output
- Energy: -30.99 eV/f.u.
- D(E_F): 0.8434 states/eV per atom
- Calculated density: 14.9 g cm⁻³

Cell lengths 4.8066, 4.8066, 4.9759 Å; angles 80.04, 80.04, 32.35 degrees
Closest atoms and distances in Å follow each position.
Atoms (fractional coordinates):
Cd (0.5110, 0.5110, 0.4720)  3 Co 2.68-2.76, 2 Cd 2.68, 5 Re 2.82-2.87
Co (0.2666, 0.2666, 0.2537)  4 Re 2.55-2.72, 3 Cd 2.68-2.76, 2 Co 2.68
Re (0.9797, 0.9797, 0.9861)  2 Co 2.55, 5 Re 2.56-2.79, 2 Cd 2.82
Re (0.7427, 0.7427, 0.7883)  5 Re 2.56-2.79, 2 Co 2.72



[20]
A plane-wave DFT calculation with GGA-PBE was carried out for an optimized crystal structure of CdCo2Re.

Output
- Energy: -24.78 eV/f.u.
- D(E_F): 1.5038 states/eV per atom
- Calculated density: 12.0 g cm⁻³

Cell lengths 2.7659, 4.7085, 4.4379 Å; angles 90.00, 90.00, 90.00 degrees
Closest atoms and distances in Å follow each position.
Atoms (fractional coordinates):
Cd (0.0000, 0.5000, 0.5000)  4 Co 2.61, 4 Re 2.73, 2 Cd 2.77
Co (0.0000, 0.0000, 0.0000)  4 Re 2.61, 6 Co 2.73-2.77
Co (0.5000, 0.5000, 0.0000)  4 Cd 2.61, 6 Co 2.73-2.77
Re (0.5000, 0.0000, 0.5000)  4 Co 2.61, 4 Cd 2.73, 2 Re 2.77